Entry 1:
Crystalline Tm5Pt2Rh at its relaxed geometry, computed with PBE-GGA.

Output
Size of the total moment in μB/cell: 0.00
Raw total energy in eV per cell: -99.1
Symmetry: No. 55

Unit cell a=7.5375 b=11.8079 c=4.2419 alpha=90.00 beta=90.00 gamma=90.00
With the nearest neighbours (Å) after each atom.
Fractional coordinates of all 16 atoms:
Tm  0.0000  0.0000  0.0000  4 Pt 2.96
Tm  0.1618  0.2958  0.0000  1 Rh 2.70, 2 Pt 2.99
Tm  0.1764  0.5920  0.5000  2 Rh 2.73, 2 Pt 2.92-2.96
Tm  0.3236  0.0920  0.5000  2 Rh 2.73, 2 Pt 2.92-2.96
Tm  0.3382  0.7958  0.0000  1 Rh 2.70, 2 Pt 2.99
Tm  0.5000  0.5000  0.0000  4 Pt 2.96
Tm  0.6618  0.2042  0.0000  1 Rh 2.70, 2 Pt 2.99
Tm  0.6764  0.9080  0.5000  2 Rh 2.73, 2 Pt 2.92-2.96
Tm  0.8236  0.4080  0.5000  2 Rh 2.73, 2 Pt 2.92-2.96
Tm  0.8382  0.7042  0.0000  1 Rh 2.70, 2 Pt 2.99
Pt  0.0418  0.8271  0.5000  8 Tm 2.92-3.10
Pt  0.4582  0.3271  0.5000  8 Tm 2.92-3.10
Pt  0.5418  0.6729  0.5000  8 Tm 2.92-3.10
Pt  0.9582  0.1729  0.5000  8 Tm 2.92-3.10
Rh  0.0000  0.5000  0.0000  6 Tm 2.70-2.73
Rh  0.5000  0.0000  0.0000  6 Tm 2.70-2.73

Entry 2:
Crystalline Pu6PPt3 at its relaxed geometry, computed with PBE-GGA.

Output
Size of the total moment in μB/cell: 19.94
Raw total energy in eV per cell: -228.6
Symmetry: No. 14

Unit cell a=5.1729 b=8.4226 c=10.7702 alpha=90.00 beta=117.62 gamma=90.00
With the nearest neighbours (Å) after each atom.
Fractional coordinates of all 20 atoms:
Pu  0.0386  0.1631  0.0605  1 Pu 2.65, 1 Pt 2.90, 1 P 2.90
Pu  0.0386  0.3369  0.5605  1 Pu 2.65, 1 Pt 2.90, 1 P 2.90
Pu  0.4141  0.6488  0.2402  2 Pu 2.56-2.65, 1 P 2.78
Pu  0.4141  0.8512  0.7402  2 Pu 2.56-2.65, 1 P 2.78
Pu  0.4287  0.1539  0.4526  2 Pu 2.56-2.76, 1 P 2.81
Pu  0.4287  0.3461  0.9526  2 Pu 2.56-2.76, 1 P 2.81
Pu  0.5713  0.6539  0.0474  2 Pu 2.56-2.76, 1 P 2.81
Pu  0.5713  0.8461  0.5474  2 Pu 2.56-2.76, 1 P 2.81
Pu  0.5859  0.1488  0.2598  2 Pu 2.56-2.65, 1 P 2.78
Pu  0.5859  0.3512  0.7598  2 Pu 2.56-2.65, 1 P 2.78
Pu  0.9614  0.6631  0.4395  1 Pu 2.65, 1 Pt 2.90, 1 P 2.90
Pu  0.9614  0.8369  0.9395  1 Pu 2.65, 1 Pt 2.90, 1 P 2.90
P  0.0000  0.0000  0.5000  8 Pu 2.78-3.05, 2 Pt 2.92
P  0.0000  0.5000  0.0000  8 Pu 2.78-3.05, 2 Pt 2.92
Pt  0.0155  0.6038  0.7452  1 Pt 2.88, 1 P 2.92, 8 Pu 2.95-3.22
Pt  0.0155  0.8962  0.2452  1 Pt 2.88, 1 P 2.92, 8 Pu 2.95-3.22
Pt  0.5000  0.0000  0.0000  2 Pt 2.88, 8 Pu 2.90-3.07
Pt  0.5000  0.5000  0.5000  2 Pt 2.88, 8 Pu 2.90-3.07
Pt  0.9845  0.1038  0.7548  1 Pt 2.88, 1 P 2.92, 8 Pu 2.95-3.22
Pt  0.9845  0.3962  0.2548  1 Pt 2.88, 1 P 2.92, 8 Pu 2.95-3.22

Entry 3:
Crystalline TaBeIr at its relaxed geometry, computed with PBE-GGA.

Output
Size of the total moment in μB/cell: 0.00
Raw total energy in eV per cell: -103.3
Symmetry: No. 64

Unit cell a=5.6859 b=5.6859 c=6.1522 alpha=90.00 beta=90.00 gamma=124.49
With the nearest neighbours (Å) after each atom.
Fractional coordinates of all 12 atoms:
Ta  0.1845  0.8155  0.9191  2 Be 2.40-2.42
Ta  0.3155  0.6845  0.4191  2 Be 2.40-2.42
Ta  0.6845  0.3155  0.5809  2 Be 2.40-2.42
Ta  0.8155  0.1845  0.0809  2 Be 2.40-2.42
Be  0.0912  0.9088  0.5598  1 Be 1.98
Be  0.4088  0.5912  0.0598  1 Be 1.98
Be  0.5912  0.4088  0.9402  1 Be 1.98
Be  0.9088  0.0912  0.4402  1 Be 1.98
Ir  0.1853  0.3147  0.7500  4 Be 2.34-2.36
Ir  0.3147  0.1853  0.2500  4 Be 2.34-2.36
Ir  0.6853  0.8147  0.7500  4 Be 2.34-2.36
Ir  0.8147  0.6853  0.2500  4 Be 2.34-2.36

Entry 4:
Crystalline CeMnSi at its relaxed geometry, computed with PBE-GGA.

Output
Raw formation energy in meV per atom: -175
Size of the total moment in μB/cell: 1.52
Raw total energy in eV per cell: -42.1
Symmetry: No. 107

Unit cell a=3.4090 b=3.4090 c=9.4749 alpha=90.00 beta=90.00 gamma=90.00
With the nearest neighbours (Å) after each atom.
Fractional coordinates of all 6 atoms:
Ce  0.0000  0.0000  0.0000  1 Mn 2.28
Ce  0.5000  0.5000  0.5000  1 Mn 2.28
Mn  0.0000  0.0000  0.2407  1 Ce 2.28, 4 Si 2.46
Mn  0.5000  0.5000  0.7407  1 Ce 2.28, 4 Si 2.46
Si  0.0000  0.0000  0.6906  4 Mn 2.46
Si  0.5000  0.5000  0.1906  4 Mn 2.46

Entry 5:
Crystalline Mn5Ge3Se12 at its relaxed geometry, computed with PBE-GGA.

Output
Raw formation energy in meV per atom: -199
Size of the total moment in μB/cell: 68.15
Raw total energy in eV per cell: -422.0
Symmetry: No. 230

Unit cell a=13.4368 b=13.4368 c=13.4368 alpha=109.47 beta=109.47 gamma=109.47
With the nearest neighbours (Å) after each atom.
Fractional coordinates of all 80 atoms:
Mn  0.0000  0.0000  0.0000  6 Se 2.53
Mn  0.0000  0.0000  0.5000  6 Se 2.53
Mn  0.0000  0.5000  0.0000  6 Se 2.53
Mn  0.0000  0.5000  0.5000  6 Se 2.53
Mn  0.1250  0.7500  0.8750  4 Se 2.35
Mn  0.1250  0.8750  0.2500  4 Se 2.35
Mn  0.2500  0.1250  0.8750  4 Se 2.35
Mn  0.2500  0.6250  0.3750  4 Se 2.35
Mn  0.3750  0.2500  0.6250  4 Se 2.35
Mn  0.3750  0.6250  0.7500  4 Se 2.35
Mn  0.5000  0.0000  0.0000  6 Se 2.53
Mn  0.5000  0.0000  0.5000  6 Se 2.53
Mn  0.5000  0.5000  0.0000  6 Se 2.53
Mn  0.5000  0.5000  0.5000  6 Se 2.53
Mn  0.6250  0.3750  0.2500  4 Se 2.35
Mn  0.6250  0.7500  0.3750  4 Se 2.35
Mn  0.7500  0.3750  0.6250  4 Se 2.35
Mn  0.7500  0.8750  0.1250  4 Se 2.35
Mn  0.8750  0.1250  0.7500  4 Se 2.35
Mn  0.8750  0.2500  0.1250  4 Se 2.35
Ge  0.1250  0.2500  0.3750  8 Se 2.90-3.07
Ge  0.1250  0.3750  0.7500  8 Se 2.90-3.07
Ge  0.2500  0.3750  0.1250  8 Se 2.90-3.07
Ge  0.2500  0.8750  0.6250  8 Se 2.90-3.07
Ge  0.3750  0.1250  0.2500  8 Se 2.90-3.07
Ge  0.3750  0.7500  0.1250  8 Se 2.90-3.07
Ge  0.6250  0.2500  0.8750  8 Se 2.90-3.07
Ge  0.6250  0.8750  0.7500  8 Se 2.90-3.07
Ge  0.7500  0.1250  0.3750  8 Se 2.90-3.07
Ge  0.7500  0.6250  0.8750  8 Se 2.90-3.07
Ge  0.8750  0.6250  0.2500  8 Se 2.90-3.07
Ge  0.8750  0.7500  0.6250  8 Se 2.90-3.07
Se  0.0315  0.2071  0.1274  2 Mn 2.35-2.53
Se  0.0315  0.3244  0.9041  2 Mn 2.35-2.53
Se  0.0797  0.7071  0.6756  2 Mn 2.35-2.53
Se  0.0797  0.8726  0.4041  2 Mn 2.35-2.53
Se  0.0959  0.6274  0.4203  2 Mn 2.35-2.53
Se  0.0959  0.9685  0.6756  2 Mn 2.35-2.53
Se  0.1274  0.0315  0.2071  2 Mn 2.35-2.53
Se  0.1274  0.5959  0.9203  2 Mn 2.35-2.53
Se  0.1756  0.2071  0.5797  2 Mn 2.35-2.53
Se  0.1756  0.4685  0.5959  2 Mn 2.35-2.53
Se  0.2071  0.1274  0.0315  2 Mn 2.35-2.53
Se  0.2071  0.5797  0.1756  2 Mn 2.35-2.53
Se  0.2929  0.3244  0.9203  2 Mn 2.35-2.53
Se  0.2929  0.4685  0.3726  2 Mn 2.35-2.53
Se  0.3244  0.9041  0.0315  2 Mn 2.35-2.53
Se  0.3244  0.9203  0.2929  2 Mn 2.35-2.53
Se  0.3726  0.2929  0.4685  2 Mn 2.35-2.53
Se  0.3726  0.5797  0.9041  2 Mn 2.35-2.53
Se  0.4041  0.0797  0.8726  2 Mn 2.35-2.53
Se  0.4041  0.8244  0.5315  2 Mn 2.35-2.53
Se  0.4203  0.0959  0.6274  2 Mn 2.35-2.53
Se  0.4203  0.8244  0.7929  2 Mn 2.35-2.53
Se  0.4685  0.3726  0.2929  2 Mn 2.35-2.53
Se  0.4685  0.5959  0.1756  2 Mn 2.35-2.53
Se  0.5315  0.4041  0.8244  2 Mn 2.35-2.53
Se  0.5315  0.6274  0.7071  2 Mn 2.35-2.53
Se  0.5797  0.1756  0.2071  2 Mn 2.35-2.53
Se  0.5797  0.9041  0.3726  2 Mn 2.35-2.53
Se  0.5959  0.1756  0.4685  2 Mn 2.35-2.53
Se  0.5959  0.9203  0.1274  2 Mn 2.35-2.53
Se  0.6274  0.4203  0.0959  2 Mn 2.35-2.53
Se  0.6274  0.7071  0.5315  2 Mn 2.35-2.53
Se  0.6756  0.0797  0.7071  2 Mn 2.35-2.53
Se  0.6756  0.0959  0.9685  2 Mn 2.35-2.53
Se  0.7071  0.5315  0.6274  2 Mn 2.35-2.53
Se  0.7071  0.6756  0.0797  2 Mn 2.35-2.53
Se  0.7929  0.4203  0.8244  2 Mn 2.35-2.53
Se  0.7929  0.8726  0.9685  2 Mn 2.35-2.53
Se  0.8244  0.5315  0.4041  2 Mn 2.35-2.53
Se  0.8244  0.7929  0.4203  2 Mn 2.35-2.53
Se  0.8726  0.4041  0.0797  2 Mn 2.35-2.53
Se  0.8726  0.9685  0.7929  2 Mn 2.35-2.53
Se  0.9041  0.0315  0.3244  2 Mn 2.35-2.53
Se  0.9041  0.3726  0.5797  2 Mn 2.35-2.53
Se  0.9203  0.1274  0.5959  2 Mn 2.35-2.53
Se  0.9203  0.2929  0.3244  2 Mn 2.35-2.53
Se  0.9685  0.6756  0.0959  2 Mn 2.35-2.53
Se  0.9685  0.7929  0.8726  2 Mn 2.35-2.53

Entry 6:
Crystalline Sm6SbPt2Se3 at its relaxed geometry, computed with PBE-GGA.

Output
Raw formation energy in meV per atom: -1450
Size of the total moment in μB/cell: 0.00
Raw total energy in eV per cell: -72.4
Symmetry: No. 12

Unit cell a=9.6075 b=9.6075 c=8.6593 alpha=105.38 beta=105.38 gamma=25.06
With the nearest neighbours (Å) after each atom.
Fractional coordinates of all 12 atoms:
Sm  0.0048  0.0048  0.2621  3 Se 2.95-3.01, 1 Pt 2.95, 2 Sb 3.06
Sm  0.3276  0.3276  0.8945  2 Pt 2.92, 3 Se 3.01-3.08, 1 Sb 3.11
Sm  0.3289  0.3289  0.4240  3 Pt 2.90-2.92, 3 Se 3.10-3.13
Sm  0.6711  0.6711  0.5760  3 Pt 2.90-2.92, 3 Se 3.10-3.13
Sm  0.6724  0.6724  0.1055  2 Pt 2.92, 3 Se 3.01-3.08, 1 Sb 3.11
Sm  0.9952  0.9952  0.7379  3 Se 2.95-3.01, 1 Pt 2.95, 2 Sb 3.06
Sb  0.5000  0.5000  0.0000  6 Sm 3.06-3.11
Pt  0.1682  0.1682  0.3390  6 Sm 2.90-2.95
Pt  0.8318  0.8318  0.6610  6 Sm 2.90-2.95
Se  0.1618  0.1618  0.8387  6 Sm 3.01-3.13
Se  0.5000  0.5000  0.5000  6 Sm 2.95-3.10
Se  0.8382  0.8382  0.1613  6 Sm 3.01-3.13